TiCr2GaH | the Alexandria database | GGA-PBE | optimized geometry; E = -6.81 eV/atom; volume = 11.12 Å³ per atom
1.0
3.753 0.000 0.000
0.000 3.753 0.000
0.000 0.000 3.946
Cr H Ti Ga
2 1 1 1
Cartesian
0.000 1.876 0.000
1.876 0.000 0.000
0.000 0.000 0.000
0.000 0.000 1.973
1.876 1.876 1.973

---

AsIrCl2 | the Alexandria database | GGA-PBE | optimized geometry; E = -4.00 eV/atom; volume = 22.30 Å³ per atom; formation energy (no corrections) = 0.300 eV/atom
1.0
-9.476 -0.032 7.932
-7.372 -0.272 9.914
-8.177 2.347 8.963
Cl Ir As
2 1 1
Cartesian
-23.513 1.920 25.189
-1.512 0.123 1.620
0.000 0.000 0.000
-12.512 1.022 13.404

---

Cu3Ni | the Alexandria database | GGA-PBE | optimized geometry; E = -4.47 eV/atom; volume = 11.66 Å³ per atom
1.0
-1.039 -2.006 1.028
3.428 -2.191 -0.811
1.506 0.792 4.227
Cu Ni
3 1
Cartesian
1.831 -1.399 0.908
0.239 -0.602 2.640
1.500 0.788 4.215
2.064 -2.005 3.536

---

Ce2DySe2N2 | the Alexandria database | GGA-PBE | optimized geometry; E = -7.50 eV/atom; volume = 21.41 Å³ per atom; formation energy (no corrections) = -1.768 eV/atom
1.0
3.937 0.000 0.000
1.969 6.271 0.045
1.969 2.414 6.087
Ce N Se Dy
2 2 2 1
Cartesian
1.969 2.864 1.494
5.906 5.821 4.639
3.937 6.449 5.621
3.937 2.236 0.511
3.937 5.846 2.084
3.937 2.839 4.048
0.000 0.000 0.000

---

Ac6TlSb2Se3 | the Alexandria database | GGA-PBE | optimized geometry; E = -5.19 eV/atom; volume = 35.64 Å³ per atom; formation energy (no corrections) = -1.380 eV/atom
1.0
-2.057 -3.253 2.576
8.363 -3.240 2.586
-0.883 8.508 5.877
Ac Se Tl Sb
6 3 1 2
Cartesian
-0.795 4.404 9.090
-1.012 0.423 3.890
2.169 3.272 5.864
6.435 1.592 7.148
3.254 -1.257 5.174
6.218 -2.388 1.948
6.320 -0.376 4.571
3.153 -3.246 2.581
-0.897 2.391 6.468
-1.028 -1.627 1.288
2.162 1.218 3.264
3.261 0.797 7.774

---

NdTm2In3 | the Alexandria database | GGA-PBE | optimized geometry; E = -4.11 eV/atom; volume = 26.82 Å³ per atom
1.0
3.739 0.000 0.000
0.000 3.739 0.000
0.000 0.000 11.510
In Tm Nd
3 2 1
Cartesian
0.000 0.000 0.000
0.000 0.000 7.836
0.000 0.000 3.674
1.869 1.869 9.669
1.869 1.869 1.842
1.869 1.869 5.755

---

CaOs3Cl | the Alexandria database | GGA-PBE | optimized geometry; E = -6.04 eV/atom; volume = 17.63 Å³ per atom; formation energy (no corrections) = 1.467 eV/atom
1.0
-4.424 -0.393 0.278
0.444 -2.339 3.760
-0.186 3.765 2.364
Cl Os Ca
1 3 1
Cartesian
0.000 0.000 0.000
0.222 -1.169 1.880
-2.212 -0.196 0.139
-0.093 1.883 1.182
-2.083 0.517 3.201

---

Ti2ZnIn2Cu7 | the Alexandria database | GGA-PBE | optimized geometry; E = -4.20 eV/atom; volume = 15.28 Å³ per atom
1.0
3.449 -0.002 -0.003
0.002 3.449 -0.003
1.750 1.747 15.408
Cu In Zn Ti
7 2 1 2
Cartesian
1.723 3.444 1.975
3.458 3.454 7.077
1.756 3.477 13.427
1.743 1.741 8.325
1.726 1.724 -0.003
3.479 1.751 13.427
3.446 1.718 1.975
3.454 3.450 4.154
1.747 1.745 11.249
0.000 0.000 0.000
1.731 1.729 5.793
3.470 3.466 9.609

---

AsOs2C | the Alexandria database | GGA-PBE | optimized geometry; E = -7.86 eV/atom; volume = 12.46 Å³ per atom
1.0
0.250 -4.123 0.072
-3.302 -2.252 1.046
-1.965 -2.239 -2.862
As Os C
1 2 1
Cartesian
-2.508 -4.306 -0.872
-1.254 -2.153 -0.436
-3.762 -6.460 -1.308
0.000 0.000 0.000

---

LaAlCd | the Alexandria database | GGA-PBE | optimized geometry; E = -3.16 eV/atom; volume = 24.96 Å³ per atom
1.0
-1.077 0.380 3.063
2.896 -1.412 -0.551
3.597 7.238 0.366
Al La Cd
1 1 1
Cartesian
0.054 0.109 0.006
2.682 4.681 2.106
2.681 1.416 0.767

---

GaGe2Pd | the Alexandria database | GGA-PBE | optimized geometry; E = -4.47 eV/atom; volume = 17.41 Å³ per atom
1.0
-1.760 -0.063 -2.486
-0.606 -2.943 0.503
-5.938 1.934 4.157
Ge Ga Pd
2 1 1
Cartesian
-1.327 0.432 0.929
-4.611 1.502 3.228
-4.152 -0.536 1.087
-1.183 -1.503 -0.991

---

AsPt2C2 | the Alexandria database | GGA-PBE | optimized geometry; E = -6.07 eV/atom; volume = 12.59 Å³ per atom
1.0
-0.565 1.169 -3.877
3.432 -1.939 -1.085
-0.546 -3.520 -3.138
C Pt As
2 2 1
Cartesian
1.249 -3.332 -5.499
1.072 -0.958 -2.601
0.161 -1.368 -4.748
2.160 -2.922 -3.352
0.000 0.000 0.000

---

- Which formula does entry 12 have?
  AsPt2C2

---

- What is the E in the ninth record?
  -7.86 eV/atom

---

- Among the records above, which one has the lowest volume?
  TiCr2GaH